No. 1
DFT (PBE-GGA) results for Na11Cd4Hg9 after structural relaxation.

Calculated values
Spin magnetization (μB/atom): 0.000
Energy of formation (meV per atom): -191.5

a b c (Å): 17.2706 20.6800 3.4914
angles (deg): 90.00 90.00 90.00
Closest atoms and distances in Å follow each position.
Space group Cmmm (No. 65)
Symmetry-distinct sites (fractional):
Na (0.0000, 0.0000, 0.0000) x2  8 Hg 3.15, 2 Na 3.49
Na (0.0000, 0.1985, 0.0000) x4  8 Hg 3.21-3.23, 3 Na 3.49
Na (0.0000, 0.3672, 0.0000) x4  6 Hg 3.25-3.34, 4 Cd 3.40, 3 Na 3.49
Na (0.2089, 0.0000, 0.0000) x4  4 Hg 3.28, 4 Cd 3.32, 5 Na 3.49-3.61
Na (0.2262, 0.1701, 0.0000) x8  6 Hg 3.20-3.32, 2 Cd 3.36, 4 Na 3.41-3.53
Cd (0.1535, 0.4257, 0.5000) x8  2 Hg 3.06-3.09, 1 Cd 3.07, 6 Na 3.32-3.40
Hg (0.0000, 0.5000, 0.5000) x2  4 Cd 3.06, 4 Na 3.25
Hg (0.0981, 0.0970, 0.5000) x8  8 Na 3.15-3.28, 3 Hg 3.39-3.49
Hg (0.1257, 0.2779, 0.5000) x8  1 Cd 3.09, 8 Na 3.23-3.34

No. 2
DFT (PBE-GGA) results for Ce4Te2I3 after structural relaxation.

Calculated values
VASP energy (eV per atom): -5.050
Spin magnetization (μB/atom): 0.545

a b c (Å): 7.7081 4.4504 18.8209
angles (deg): 90.00 90.04 90.00
Closest atoms and distances in Å follow each position.
Space group C2/m (No. 12)
Symmetry-distinct sites (fractional):
Ce (0.0005, 0.0000, 0.2922) x4  3 Te 3.13, 3 I 3.26
Ce (0.1665, 0.5000, 0.8971) x4  3 Te 3.13, 3 I 3.22
Te (0.1670, 0.5000, 0.1976) x4  6 Ce 3.13
I (0.0000, 0.0000, 0.0000) x2  6 Ce 3.22
I (0.1660, 0.5000, 0.6015) x4  3 Ce 3.26

No. 3
DFT (PBE-GGA) results for Pu3PbSe4 after structural relaxation.

Calculated values
VASP energy (eV per atom): -8.758
Spin magnetization (μB/atom): 0.742

a b c (Å): 12.0748 5.9613 5.9609
angles (deg): 90.00 90.00 90.00
Closest atoms and distances in Å follow each position.
Space group Pmn2_1 (No. 31)
Symmetry-distinct sites (fractional):
Pu (0.0000, 0.2495, 0.9998) x2  6 Se 2.93-2.98
Pu (0.2500, 0.2496, 0.5000) x4  6 Se 2.98-3.02
Pb (0.0000, 0.7581, 0.4965) x2  6 Se 2.97-3.11
Se (0.0000, 0.2562, 0.5000) x2  2 Pb 2.97-2.99, 4 Pu 2.98-3.02
Se (0.0000, 0.7494, 0.9973) x2  2 Pb 2.98-2.99, 4 Pu 2.98-3.02
Se (0.2425, 0.2504, 0.0002) x4  5 Pu 2.93-2.98, 1 Pb 3.11

No. 4
DFT (PBE-GGA) results for Pr2SiSbPd6 after structural relaxation.

Calculated values
VASP energy (eV per atom): -5.779
Spin magnetization (μB/atom): 0.000

a b c (Å): 5.5978 8.8204 8.5162
angles (deg): 90.00 90.00 90.00
Closest atoms and distances in Å follow each position.
Space group Pmmn (No. 59, origin choice 2)
Symmetry-distinct sites (fractional):
Pr (0.2500, 0.0001, 0.2385) x4  9 Pd 3.09-3.46
Si (0.2500, 0.2500, 0.7358) x2  6 Pd 2.37-2.45
Sb (0.2500, 0.7500, 0.7791) x2  6 Pd 2.62-2.78
Pd (0.0021, 0.7500, 0.4962) x4  1 Si 2.43
Pd (0.0058, 0.2500, 0.9638) x4  1 Si 2.37, 1 Sb 2.62
Pd (0.2500, 0.0020, 0.6068) x4  1 Si 2.45, 1 Sb 2.66

No. 5
DFT (PBE-GGA) results for OsCF3 after structural relaxation.

Calculated values
ΔE to the lowest computed polymorph (kcal/mol of atoms): 8.67
Spin magnetization (μB/atom): 0.667

a b c (Å): 3.9358 3.9358 3.9358
angles (deg): 90.00 90.00 90.00
Closest atoms and distances in Å follow each position.
Space group Pm-3m (No. 221)
Symmetry-distinct sites (fractional):
Os (0.0000, 0.0000, 0.0000) x1  12 F 2.78
C (0.5000, 0.5000, 0.5000) x1  6 F 1.97
F (0.0000, 0.5000, 0.5000) x3  2 C 1.97

No. 6
DFT (PBE-GGA) results for Er4NiIr after structural relaxation.

Calculated values
ΔE to the lowest computed polymorph (kcal/mol of atoms): 0.00
Spin magnetization (μB/atom): 0.000
Energy of formation (meV per atom): -492.3

a b c (Å): 6.0990 6.6212 7.4926
angles (deg): 90.00 107.81 90.00
Closest atoms and distances in Å follow each position.
Space group P2_1/m (No. 11)
Symmetry-distinct sites (fractional):
Er (0.0014, 0.9996, 0.2589) x4  2 Ni 2.79-2.82, 2 Ir 2.84-2.85
Er (0.4298, 0.2500, 0.1076) x2  1 Ni 2.69, 1 Ir 2.76
Er (0.4425, 0.2500, 0.6095) x2  1 Ni 2.66, 1 Ir 2.74
Ni (0.2343, 0.7500, 0.5623) x2  6 Er 2.66-2.82
Ir (0.2179, 0.7500, 0.0513) x2  6 Er 2.74-2.85

No. 7
DFT (PBE-GGA) results for Ti2Co2Au after structural relaxation.

Calculated values
ΔE to the lowest computed polymorph (kcal/mol of atoms): 7.19
Spin magnetization (μB/atom): 0.000
Energy of formation (meV per atom): -74.2

a b c (Å): 3.9714 3.9714 9.6952
angles (deg): 90.00 90.00 90.00
Closest atoms and distances in Å follow each position.
Space group I4/mmm (No. 139)
Symmetry-distinct sites (fractional):
Ti (0.0000, 0.5000, 0.2500) x4  4 Co 2.39
Co (0.0000, 0.0000, 0.1135) x4  1 Co 2.20, 4 Ti 2.39
Au (0.0000, 0.0000, 0.5000) x2  8 Co 3.02, 8 Ti 3.13